(A)
Mg6Tl2Co | PBE | relaxed

Cell lengths 15.2255, 8.1695, 3.3162 Å; angles 90.00, 102.42, 90.00 degrees
Closest atoms and distances in Å follow each position.
Space group C2/m (No. 12)
Symmetry-distinct sites (fractional):
Mg 0.0000 0.2436 0.0000 (multiplicity 4)  2 Co 2.67, 4 Mg 2.99
Mg 0.1615 0.3213 0.6593 (multiplicity 8)  1 Co 2.81, 3 Mg 2.92-2.99, 3 Tl 3.06-3.11
Tl 0.1578 0.0000 0.1583 (multiplicity 4)  8 Mg 3.06-3.11, 2 Tl 3.32
Co 0.0000 0.5000 0.5000 (multiplicity 2)  8 Mg 2.67-2.81

Results
The calculation puts the calculated volume at 22.38 Å³/atom.

---

(B)
Mg6Tl2Co | PBE | relaxed

Cell lengths 8.1971, 8.1971, 3.2936 Å; angles 90.00, 90.00, 120.00 degrees
Closest atoms and distances in Å follow each position.
Space group P-62m (No. 189)
Symmetry-distinct sites (fractional):
Mg 0.0000 0.2486 0.0000 (multiplicity 3)  2 Co 2.62
Mg 0.0000 0.6474 0.5000 (multiplicity 3)  1 Co 2.89, 4 Mg 3.05, 4 Tl 3.13
Tl 0.3333 0.6667 0.0000 (multiplicity 2)  9 Mg 3.13-3.14, 2 Tl 3.29
Co 0.0000 0.0000 0.5000 (multiplicity 1)  9 Mg 2.62-2.89

Results
The calculation puts the calculated volume at 21.30 Å³/atom.

---

Stability ranking, top and bottom: (B) is the most stable and (A) is the least stable.

---

(A)
Y2MgTlCo | PBE | relaxed

Cell lengths 5.1196, 5.1196, 5.0443 Å; angles 90.00, 90.00, 90.00 degrees
Closest atoms and distances in Å follow each position.
Space group P4/mmm (No. 123)
Symmetry-distinct sites (fractional):
Y 0.0000 0.5000 0.0000 (multiplicity 2)  2 Co 2.56
Mg 0.0000 0.0000 0.5000 (multiplicity 1)  8 Y 3.59, 4 Tl 3.62
Tl 0.5000 0.5000 0.5000 (multiplicity 1)  2 Co 2.52
Co 0.5000 0.5000 0.0000 (multiplicity 1)  2 Tl 2.52, 4 Y 2.56

Results
The calculation puts the calculated volume at 26.44 Å³/atom.

---

(B)
Y2MgTlCo | PBE | relaxed

Cell lengths 5.0815, 5.0815, 4.9948 Å; angles 90.00, 90.00, 90.00 degrees
Closest atoms and distances in Å follow each position.
Space group P4/mmm (No. 123)
Symmetry-distinct sites (fractional):
Y 0.0000 0.5000 0.0000 (multiplicity 2)  2 Co 2.54
Mg 0.0000 0.0000 0.5000 (multiplicity 1)  2 Co 2.50
Tl 0.5000 0.5000 0.5000 (multiplicity 1)  8 Y 3.56, 4 Mg 3.59
Co 0.0000 0.0000 0.0000 (multiplicity 1)  2 Mg 2.50, 4 Y 2.54

Results
The calculation puts the calculated volume at 25.80 Å³/atom.

---

Stability ranking, top and bottom: (B) is the most stable and (A) is the least stable.